Density functional theory data (PBE with a Hubbard U) for an optimized crystal structure of MoWF2.

a b c (Å): 8.5179 8.5179 8.5179
angles (deg): 19.44 19.44 19.44
Closest atoms and distances in Å follow each position.
Atoms (fractional coordinates):
F: 0.0824 0.0824 0.0824  1 Mo 2.07
Mo: 0.0000 0.0000 0.0000  2 F 2.07
W: 0.5000 0.5000 0.5000  6 F 2.69, 6 W 2.88
F: 0.9176 0.9176 0.9176  1 Mo 2.07

Summary:
uncorrected energy	-18.329	eV/cell
polymorph energy (0 for the lowest one)	0.165	eV per atom
V	15.0	Å³/atom
DOS at the Fermi energy	2.6	states/eV/f.u.